{"formula": "Sr2Zn3In4Ga", "functional": "PBE", "state": "relaxed", "lattice_angstrom": [[4.6153, 0.0000, 0.0000], [0.0000, 4.6153, 0.0000], [0.0000, 0.0000, 11.6593]], "species": ["Sr", "Sr", "Zn", "Zn", "Zn", "In", "In", "In", "In", "Ga"], "frac_coords": [[0.0000, 0.5000, 0.2439], [0.5000, 0.0000, 0.7561], [0.0000, 0.0000, 0.0000], [0.0000, 0.5000, 0.6399], [0.5000, 0.0000, 0.3601], [0.0000, 0.0000, 0.5000], [0.0000, 0.5000, 0.8669], [0.5000, 0.0000, 0.1331], [0.5000, 0.5000, 0.5000], [0.5000, 0.5000, 0.0000]], "formation_energy_ev_per_atom": -0.293, "density_g_cm3": 6.02}

{"formula": "SrZr2InGa", "functional": "PBE", "state": "relaxed", "lattice_angstrom": [[5.2695, 0.0000, 0.0000], [0.0000, 5.2695, 0.0000], [0.0000, 0.0000, 5.7432]], "species": ["Sr", "Zr", "Zr", "In", "Ga"], "frac_coords": [[0.0000, 0.0000, 0.0000], [0.0000, 0.5000, 0.0000], [0.5000, 0.0000, 0.0000], [0.0000, 0.0000, 0.5000], [0.5000, 0.5000, 0.5000]], "formation_energy_ev_per_atom": 1.649, "density_g_cm3": 4.73}

{"formula": "TaIn3Ga", "functional": "PBE", "state": "relaxed", "lattice_angstrom": [[5.4414, 0.0000, 0.0000], [0.0000, 5.4414, 0.0000], [0.0000, 0.0000, 5.4414]], "species": ["Ta", "In", "In", "In", "Ga"], "frac_coords": [[0.0000, 0.0000, 0.0000], [0.0000, 0.0000, 0.5000], [0.0000, 0.5000, 0.0000], [0.5000, 0.0000, 0.0000], [0.5000, 0.5000, 0.5000]], "formation_energy_ev_per_atom": 0.675, "density_g_cm3": 6.13, "e_above_lowest_polymorph_ev_per_atom": 0.0000}